Material: TmCoSi3Os
Method: DFT, PBE
State: relaxed

CIF file:
```
data_TmCoSi3Os
_chemical_formula_sum 'Tm4 Co4 Si12 Os4'
_cell_length_a 7.314
_cell_length_b 11.379
_cell_length_c 5.241
_cell_angle_alpha 90.00
_cell_angle_beta 90.00
_cell_angle_gamma 90.00
_space_group_name_H-M_alt 'C m c m'
_space_group_IT_number 63
_space_group_name_Hall '-C 2c 2'
loop_
_atom_site_label
_atom_site_fract_x
_atom_site_fract_y
_atom_site_fract_z
Tm1 0.000 0.206 0.250
Co1 0.000 0.452 0.750
Si1 0.000 0.272 0.750
Si2 0.242 0.500 0.000
Os1 0.000 0.075 0.750
```

Results
D(E_F), states/eV per cell: 5.7
E_tot, eV per atom: -6.8236
Raw formation energy, eV per atom: -0.31